# Li2GaWF, relaxed, DFT GGA+U
# density	4.00	g/cm3
# size of the total moment	0.47	μB/atom
# E_tot	-14.381	eV/cell
data_Li2GaWF
_cell_length_a 4.8386
_cell_length_b 4.8386
_cell_length_c 5.0782
_cell_angle_alpha 90.00
_cell_angle_beta 90.00
_cell_angle_gamma 90.00
_space_group_name_H-M_alt 'P 4/m m m'
_space_group_IT_number 123
_space_group_name_Hall '-P 4 2'
loop_
_atom_site_label
_atom_site_type_symbol
_atom_site_fract_x
_atom_site_fract_y
_atom_site_fract_z
Li1 Li 0.0000 0.5000 0.0000
Ga1 Ga 0.0000 0.0000 0.0000
W1 W 0.0000 0.0000 0.5000
F1 F 0.5000 0.5000 0.5000